# LiErCrF6 PBE with a Hubbard U relaxed
# total DFT energy (no corrections): -5.82 eV/atom
data_LiErCrF6
_chemical_formula_sum 'Li2 Er2 Cr2 F12'
_cell_length_a 5.4510
_cell_length_b 5.4510
_cell_length_c 9.0814
_cell_angle_alpha 90.00
_cell_angle_beta 90.00
_cell_angle_gamma 120.00
_space_group_name_H-M_alt 'P -3 1 c'
_space_group_IT_number 163
_space_group_name_Hall '-P 3 2c'
loop_
_atom_site_label
_atom_site_type_symbol
_atom_site_fract_x
_atom_site_fract_y
_atom_site_fract_z
_atom_site_occupancy
Li1 Li 0.0000 0.0000 0.0000 1
Er1 Er 0.3333 0.6667 0.2500 1
Cr1 Cr 0.3333 0.6667 0.7500 1
F1 F 0.0154 0.3418 0.6278 1